# 1
VASP calculation (PBE-GGA) on a geometry-optimized SrMgTc2C structure.

## Properties
formation enthalpy at 0 K	1342	kJ/mol of formula units

Cell: 4.5827 5.6880 4.5827 Å, 90.00 90.00 90.00°
Last column: nearest neighbours and their distance in Å.
Positions (direct):
1 C 0.5000 0.5000 0.5000  4 Sr 3.24
2 Sr 0.0000 0.5000 0.0000  2 Mg 2.84
3 Mg 0.0000 0.0000 0.0000  4 Tc 2.29
4 Tc 0.0000 0.0000 0.5000  2 Mg 2.29
5 Tc 0.5000 0.0000 0.0000  2 Mg 2.29

***

# 2
VASP calculation (PBE-GGA) on a geometry-optimized SrMgTlC2 structure.

## Properties
formation enthalpy at 0 K	1123	kJ/mol of formula units

Cell: 4.7826 6.1925 4.7826 Å, 90.00 90.00 90.00°
Last column: nearest neighbours and their distance in Å.
Positions (direct):
1 C 0.0000 0.0000 0.5000  2 Sr 2.39
2 C 0.5000 0.0000 0.0000  2 Sr 2.39
3 Sr 0.0000 0.0000 0.0000  4 C 2.39
4 Tl 0.0000 0.5000 0.0000  2 Sr 3.10, 4 Mg 3.38
5 Mg 0.5000 0.5000 0.5000  4 Tl 3.38

***

# 3
VASP calculation (PBE-GGA) on a geometry-optimized SrYMgC2 structure.

## Properties
formation enthalpy at 0 K	1204	kJ/mol of formula units

Cell: 4.7415 5.8002 4.7415 Å, 90.00 90.00 90.00°
Last column: nearest neighbours and their distance in Å.
Positions (direct):
1 Y 0.0000 0.5000 0.0000  2 Sr 2.90
2 Sr 0.0000 0.0000 0.0000  4 C 2.37
3 Mg 0.5000 0.5000 0.5000  4 Y 3.35, 8 C 3.75
4 C 0.0000 0.0000 0.5000  2 Sr 2.37
5 C 0.5000 0.0000 0.0000  2 Sr 2.37

***

# 4
VASP calculation (PBE-GGA) on a geometry-optimized SrMgZrC2 structure.

## Properties
formation enthalpy at 0 K	1198	kJ/mol of formula units

Cell: 4.5679 5.0165 4.5679 Å, 90.00 90.00 90.00°
Last column: nearest neighbours and their distance in Å.
Positions (direct):
1 Sr 0.0000 0.0000 0.0000  4 C 2.28, 2 Mg 2.51
2 Mg 0.0000 0.5000 0.0000  2 Sr 2.51
3 C 0.0000 0.0000 0.5000  2 Sr 2.28
4 C 0.5000 0.0000 0.0000  2 Sr 2.28
5 Zr 0.5000 0.5000 0.5000  4 Mg 3.23, 8 C 3.39

***

# 5
VASP calculation (PBE-GGA) on a geometry-optimized MgTa3C structure.

## Properties
formation enthalpy at 0 K	4	kJ/mol of formula units
energy above the lowest structure with this stoichiometry	0	meV/atom

Cell: 4.3382 4.3382 4.3382 Å, 90.00 90.00 90.00°
Last column: nearest neighbours and their distance in Å.
Positions (direct):
1 Mg 0.5000 0.5000 0.5000  12 Ta 3.07
2 C 0.0000 0.0000 0.0000  6 Ta 2.17
3 Ta 0.0000 0.5000 0.0000  2 C 2.17
4 Ta 0.0000 0.0000 0.5000  2 C 2.17
5 Ta 0.5000 0.0000 0.0000  2 C 2.17

***

# 6
VASP calculation (PBE-GGA) on a geometry-optimized MgTaC2 structure.

## Properties
formation enthalpy at 0 K	188	kJ/mol of formula units

Cell: 5.2034 5.2034 5.7648 Å, 63.17 63.17 90.00°
Last column: nearest neighbours and their distance in Å.
Positions (direct):
1 Mg 0.5000 0.5000 0.0000  4 C 2.26
2 Mg 0.2500 0.7500 0.5000  4 C 2.26
3 C 0.6592 0.1250 0.2500  2 Ta 2.05, 2 Mg 2.26
4 C 0.0908 0.6250 0.2500  2 Ta 2.05, 2 Mg 2.26
5 C 0.3750 0.3408 0.7500  2 Ta 2.05, 2 Mg 2.26
6 C 0.8750 0.9092 0.7500  2 Ta 2.05, 2 Mg 2.26
7 Ta 0.0000 0.0000 0.0000  4 C 2.05
8 Ta 0.7500 0.2500 0.5000  4 C 2.05

***

# 7
VASP calculation (PBE-GGA) on a geometry-optimized MgTa3C structure.

## Properties
formation enthalpy at 0 K	1526	kJ/mol of formula units
energy above the lowest structure with this stoichiometry	3155	meV/atom

Cell: 4.6695 4.6695 4.6695 Å, 90.00 90.00 90.00°
Last column: nearest neighbours and their distance in Å.
Positions (direct):
1 Mg 0.0000 0.0000 0.0000  6 Ta 2.33
2 C 0.5000 0.5000 0.5000  12 Ta 3.30
3 Ta 0.0000 0.5000 0.0000  2 Mg 2.33
4 Ta 0.0000 0.0000 0.5000  2 Mg 2.33
5 Ta 0.5000 0.0000 0.0000  2 Mg 2.33

***

# 8
VASP calculation (PBE-GGA) on a geometry-optimized Mg3TaC structure.

## Properties
formation enthalpy at 0 K	416	kJ/mol of formula units
energy above the lowest structure with this stoichiometry	0	meV/atom

Cell: 4.3992 4.3992 4.3992 Å, 90.00 90.00 90.00°
Last column: nearest neighbours and their distance in Å.
Positions (direct):
1 Mg 0.0000 0.5000 0.0000  2 C 2.20
2 Mg 0.0000 0.0000 0.5000  2 C 2.20
3 Mg 0.5000 0.0000 0.0000  2 C 2.20
4 C 0.0000 0.0000 0.0000  6 Mg 2.20
5 Ta 0.5000 0.5000 0.5000  12 Mg 3.11